1.
# Er2RhO (PBE, relaxed)
data_Er2RhO
_chemical_formula_sum 'Er6 Rh3 O3'
_space_group_name_H-M_alt 'R -3 m'
_space_group_IT_number 166
_space_group_name_Hall '-R 3 2"'
_cell_length_a 3.4502
_cell_length_b 3.4502
_cell_length_c 20.5613
_cell_angle_alpha 90.00
_cell_angle_beta 90.00
_cell_angle_gamma 120.00
loop_
_atom_site_label
_atom_site_type_symbol
_atom_site_fract_x
_atom_site_fract_y
_atom_site_fract_z
Er1 Er 0.0000 0.0000 0.2383
Rh1 Rh 0.0000 0.0000 0.0000
O1 O 0.0000 0.0000 0.5000
# - spin magnetization (μB/atom) = 0.000

2.
# Er2RhO (PBE, relaxed)
data_Er2RhO
_chemical_formula_sum 'Er2 Rh1 O1'
_space_group_name_H-M_alt 'P 4/m m m'
_space_group_IT_number 123
_space_group_name_Hall '-P 4 2'
_cell_length_a 3.121
_cell_length_b 3.121
_cell_length_c 6.880
_cell_angle_alpha 90.00
_cell_angle_beta 90.00
_cell_angle_gamma 90.00
loop_
_atom_site_label
_atom_site_type_symbol
_atom_site_fract_x
_atom_site_fract_y
_atom_site_fract_z
Er1 Er 0.000 0.000 0.232
Rh1 Rh 0.500 0.500 0.500
O1 O 0.500 0.500 0.000
# - spin magnetization (μB/atom) = 0.000

Most stable pick: 1. Distance to second place: 315 meV per atom.

1.
# Er2S2O (PBE, relaxed)
data_Er2S2O
_chemical_formula_sum 'Er8 S8 O4'
_space_group_name_H-M_alt 'P 1 21/c 1'
_space_group_IT_number 14
_cell_length_a 8.224
_cell_length_b 6.845
_cell_length_c 6.820
_cell_angle_alpha 90.00
_cell_angle_beta 99.39
_cell_angle_gamma 90.00
loop_
_space_group_symop_operation_xyz
'x,y,z'
'-x,-y,-z'
'-x,y+1/2,-z+1/2'
'x,-y+1/2,z+1/2'
loop_
_atom_site_label
_atom_site_type_symbol
_atom_site_fract_x
_atom_site_fract_y
_atom_site_fract_z
Er1 Er 0.075 0.145 0.323
Er2 Er 0.361 0.554 0.250
S1 S 0.181 0.633 0.579
S2 S 0.425 0.223 0.470
O1 O 0.117 0.087 0.650
# - spin magnetization (μB/atom) = 0.000

2.
# Er2S2O (PBE, relaxed)
data_Er2S2O
_chemical_formula_sum 'Er8 S8 O4'
_space_group_name_H-M_alt 'C m c 21'
_space_group_IT_number 36
_cell_length_a 3.766
_cell_length_b 14.557
_cell_length_c 6.989
_cell_angle_alpha 90.00
_cell_angle_beta 90.00
_cell_angle_gamma 90.00
loop_
_space_group_symop_operation_xyz
'x,y,z'
'-x,-y,z+1/2'
'-x,y,z'
'x,-y,z+1/2'
'x+1/2,y+1/2,z'
'-x+1/2,-y+1/2,z+1/2'
'-x+1/2,y+1/2,z'
'x+1/2,-y+1/2,z+1/2'
loop_
_atom_site_label
_atom_site_type_symbol
_atom_site_fract_x
_atom_site_fract_y
_atom_site_fract_z
Er1 Er 0.000 0.050 0.000
Er2 Er 0.000 0.334 0.892
S1 S 0.000 0.297 0.517
S2 S 0.000 0.449 0.190
O1 O 0.000 0.093 0.327
# - spin magnetization (μB/atom) = 0.000

Most stable pick: 1. Distance to second place: 37 meV per atom.

1.
# ErSbO (PBE, relaxed)
data_ErSbO
_chemical_formula_sum 'Er2 Sb2 O2'
_space_group_name_H-M_alt 'P -3 m 1'
_space_group_IT_number 164
_space_group_name_Hall '-P 3 2"'
_cell_length_a 3.7582
_cell_length_b 3.7582
_cell_length_c 10.2149
_cell_angle_alpha 90.00
_cell_angle_beta 90.00
_cell_angle_gamma 120.00
loop_
_atom_site_label
_atom_site_type_symbol
_atom_site_fract_x
_atom_site_fract_y
_atom_site_fract_z
Er1 Er 0.3333 0.6667 0.3589
Sb1 Sb 0.3333 0.6667 0.8987
O1 O 0.3333 0.6667 0.5836
# - spin magnetization (μB/atom) = 0.000

2.
# ErSbO (PBE, relaxed)
data_ErSbO
_chemical_formula_sum 'Er1 Sb1 O1'
_space_group_name_H-M_alt 'P 3 m 1'
_space_group_IT_number 156
_cell_length_a 3.5243
_cell_length_b 3.5243
_cell_length_c 6.8492
_cell_angle_alpha 90.00
_cell_angle_beta 90.00
_cell_angle_gamma 120.00
loop_
_space_group_symop_operation_xyz
'x,y,z'
'-y,x-y,z'
'-x+y,-x,z'
'-y,-x,z'
'-x+y,y,z'
'x,x-y,z'
loop_
_atom_site_label
_atom_site_type_symbol
_atom_site_fract_x
_atom_site_fract_y
_atom_site_fract_z
Er1 Er 0.0000 0.0000 0.0000
Sb1 Sb 0.3333 0.6667 0.3937
O1 O 0.6667 0.3333 0.9109
# - spin magnetization (μB/atom) = 0.000

Most stable pick: 2. Distance to second place: 16 meV per atom.

1.
# Er2ScO (PBE, relaxed)
data_Er2ScO
_chemical_formula_sum 'Er2 Sc1 O1'
_space_group_name_H-M_alt 'P 4/m m m'
_space_group_IT_number 123
_space_group_name_Hall '-P 4 2'
_cell_length_a 3.105
_cell_length_b 3.105
_cell_length_c 8.347
_cell_angle_alpha 90.00
_cell_angle_beta 90.00
_cell_angle_gamma 90.00
loop_
_atom_site_label
_atom_site_type_symbol
_atom_site_fract_x
_atom_site_fract_y
_atom_site_fract_z
Er1 Er 0.000 0.000 0.183
Sc1 Sc 0.500 0.500 0.500
O1 O 0.500 0.500 0.000
# - spin magnetization (μB/atom) = 0.000

2.
# Er2ScO (PBE, relaxed)
data_Er2ScO
_chemical_formula_sum 'Er6 Sc3 O3'
_space_group_name_H-M_alt 'R -3 m'
_space_group_IT_number 166
_space_group_name_Hall '-R 3 2"'
_cell_length_a 3.4393
_cell_length_b 3.4393
_cell_length_c 24.9396
_cell_angle_alpha 90.00
_cell_angle_beta 90.00
_cell_angle_gamma 120.00
loop_
_atom_site_label
_atom_site_type_symbol
_atom_site_fract_x
_atom_site_fract_y
_atom_site_fract_z
Er1 Er 0.0000 0.0000 0.2218
Sc1 Sc 0.0000 0.0000 0.0000
O1 O 0.0000 0.0000 0.5000
# - spin magnetization (μB/atom) = 0.001

Most stable pick: 2. Distance to second place: 483 meV per atom.

1.
# ErSc2O4 (PBE, relaxed)
data_ErSc2O4
_chemical_formula_sum 'Er8 Sc16 O32'
_space_group_name_H-M_alt 'F d d d'
_space_group_IT_number 70
_cell_length_a 9.091
_cell_length_b 9.115
_cell_length_c 9.128
_cell_angle_alpha 90.00
_cell_angle_beta 90.00
_cell_angle_gamma 90.00
loop_
_space_group_symop_operation_xyz
'x,y,z'
'-x,-y,-z'
'-x+1/4,-y+1/4,z'
'x+1/4,y+1/4,-z'
'x,-y+1/4,-z+1/4'
'-x,y+1/4,z+1/4'
'-x+1/4,y,-z+1/4'
'x+1/4,-y,z+1/4'
'x,y+1/2,z+1/2'
'-x,-y+1/2,-z+1/2'
'-x+1/4,-y+3/4,z+1/2'
'x+1/4,y+3/4,-z+1/2'
'x,-y+3/4,-z+3/4'
'-x,y+3/4,z+3/4'
'-x+1/4,y+1/2,-z+3/4'
'x+1/4,-y+1/2,z+3/4'
'x+1/2,y,z+1/2'
'-x+1/2,-y,-z+1/2'
'-x+3/4,-y+1/4,z+1/2'
'x+3/4,y+1/4,-z+1/2'
'x+1/2,-y+1/4,-z+3/4'
'-x+1/2,y+1/4,z+3/4'
'-x+3/4,y,-z+3/4'
'x+3/4,-y,z+3/4'
'x+1/2,y+1/2,z'
'-x+1/2,-y+1/2,-z'
'-x+3/4,-y+3/4,z'
'x+3/4,y+3/4,-z'
'x+1/2,-y+3/4,-z+1/4'
'-x+1/2,y+3/4,z+1/4'
'-x+3/4,y+1/2,-z+1/4'
'x+3/4,-y+1/2,z+1/4'
loop_
_atom_site_label
_atom_site_type_symbol
_atom_site_fract_x
_atom_site_fract_y
_atom_site_fract_z
Er1 Er 0.125 0.125 0.125
Sc1 Sc 0.000 0.000 0.500
O1 O 0.010 0.011 0.738
# - spin magnetization (μB/atom) = 0.000

2.
# ErSc2O4 (PBE, relaxed)
data_ErSc2O4
_chemical_formula_sum 'Er4 Sc8 O16'
_space_group_name_H-M_alt 'C m c m'
_space_group_IT_number 63
_space_group_name_Hall '-C 2c 2'
_cell_length_a 3.126
_cell_length_b 10.383
_cell_length_c 10.327
_cell_angle_alpha 90.00
_cell_angle_beta 90.00
_cell_angle_gamma 90.00
loop_
_atom_site_label
_atom_site_type_symbol
_atom_site_fract_x
_atom_site_fract_y
_atom_site_fract_z
Er1 Er 0.000 0.122 0.250
Sc1 Sc 0.000 0.372 0.069
O1 O 0.000 0.000 0.000
O2 O 0.000 0.275 0.616
O3 O 0.000 0.465 0.250
# - spin magnetization (μB/atom) = 0.000

Most stable pick: 2. Distance to second place: 73 meV per atom.

1.
# ErScO (PBE, relaxed)
data_ErScO
_chemical_formula_sum 'Er2 Sc2 O2'
_space_group_name_H-M_alt 'P 42/m m c'
_space_group_IT_number 131
_space_group_name_Hall '-P 4c 2'
_cell_length_a 3.972
_cell_length_b 3.972
_cell_length_c 7.441
_cell_angle_alpha 90.00
_cell_angle_beta 90.00
_cell_angle_gamma 90.00
loop_
_atom_site_label
_atom_site_type_symbol
_atom_site_fract_x
_atom_site_fract_y
_atom_site_fract_z
Er1 Er 0.000 0.000 0.250
Sc1 Sc 0.500 0.500 0.000
O1 O 0.000 0.500 0.000
# - spin magnetization (μB/atom) = 0.000

2.
# ErScO (PBE, relaxed)
data_ErScO
_chemical_formula_sum 'Er4 Sc4 O4'
_space_group_name_H-M_alt 'P b c m'
_space_group_IT_number 57
_cell_length_a 7.636
_cell_length_b 6.515
_cell_length_c 4.703
_cell_angle_alpha 90.00
_cell_angle_beta 90.00
_cell_angle_gamma 90.00
loop_
_space_group_symop_operation_xyz
'x,y,z'
'-x,-y,-z'
'-x,-y,z+1/2'
'x,y,-z+1/2'
'x,-y+1/2,-z'
'-x,y+1/2,z'
'-x,y+1/2,-z+1/2'
'x,-y+1/2,z+1/2'
loop_
_atom_site_label
_atom_site_type_symbol
_atom_site_fract_x
_atom_site_fract_y
_atom_site_fract_z
Er1 Er 0.130 0.075 0.250
Sc1 Sc 0.387 0.592 0.250
O1 O 0.387 0.588 0.750
# - spin magnetization (μB/atom) = 0.000

Most stable pick: 2. Distance to second place: 170 meV per atom.